First-principles (PBE) data for a relaxed Ce3SmIr2 crystal, as listed in Alexandria.

**Formation energy**: -0.500 eV per atom
**Magnetization**: 0.00 μB per formula unit
**Space group**: No. 12
**Calculated density**: 11.2 g cm⁻³

Geometry as POSCAR:
```
Ce3SmIr2
1.0
-2.616 1.372 -3.465
-5.404 -2.425 6.110
3.303 7.887 0.630
Ce Sm Ir
6 2 4
Cartesian
-1.805 3.948 2.926 Ce
-5.215 3.741 2.426 Ce
-0.659 5.804 -0.196 Ce
-4.057 1.031 3.471 Ce
0.498 3.094 0.849 Ce
-2.911 2.887 0.349 Ce
-3.327 6.968 2.279 Sm
-1.390 -0.133 0.996 Sm
-3.741 4.742 4.701 Ir
-0.976 2.092 -1.426 Ir
-4.430 0.682 0.622 Ir
-0.287 6.153 2.653 Ir
```



First-principles (PBE) data for a relaxed CeSm2Ir crystal, as listed in Alexandria.

**Formation energy**: -0.425 eV per atom
**Magnetization**: 1.01 μB per formula unit
**Space group**: No. 63
**Polymorph energy (0 for the lowest one)**: 0.0346 eV per atom
**Calculated density**: 9.2 g cm⁻³

Geometry as POSCAR:
```
CeSm2Ir
1.0
3.837 -0.146 0.000
-1.684 6.176 0.000
0.000 0.000 9.710
Ce Sm Ir
2 4 2
Cartesian
0.194 5.067 2.428 Ce
1.959 0.963 7.283 Ce
0.067 1.715 4.219 Sm
2.086 4.316 5.491 Sm
2.086 4.316 9.074 Sm
0.067 1.715 0.636 Sm
2.038 3.029 2.428 Ir
0.116 3.002 7.283 Ir
```



First-principles (PBE) data for a relaxed CeSm5Ir4 crystal, as listed in Alexandria.

**Formation energy**: -0.609 eV per atom
**Magnetization**: 0.00 μB per formula unit
**Space group**: No. 12
**Calculated density**: 10.1 g cm⁻³

Geometry as POSCAR:
```
CeSm5Ir4
1.0
4.193 0.000 0.000
0.000 7.516 -1.250
-2.096 -2.367 9.062
Ce Sm Ir
1 5 4
Cartesian
2.096 0.000 0.000 Ce
2.096 2.863 5.325 Sm
2.096 -0.994 5.966 Sm
0.000 6.144 1.847 Sm
2.096 3.758 -0.625 Sm
0.000 2.287 2.488 Sm
0.000 4.597 4.451 Ir
0.000 5.702 -0.948 Ir
2.096 0.553 3.362 Ir
-2.096 -0.553 8.761 Ir
```